GGA+U CoI2O2, optimized geometry; energy above the lowest structure with this stoichiometry = 681 meV per atom; DOS(E_F) = 2.91 states/eV per cell; space-group type = No. 123
1.0
4.881 0.000 0.000
0.000 4.881 0.000
0.000 0.000 3.897
Co I O
1 2 2
Cartesian
0.000 0.000 0.000
0.000 2.441 1.948
2.441 0.000 1.948
2.441 2.441 0.000
2.441 2.441 1.948